MoAsOs2 | PBE-GGA | optimized geometry

Calculated values
Calculated volume, Å³/atom: 14.91
Symmetry: R3m
DFT formation energy, meV/atom: 243
Mass density, g/cm3: 15.35

Structure (POSCAR):
```
MoAsOs2
1.0
2.832 0.000 0.000
-1.416 2.452 0.000
0.000 0.000 25.769
Mo As Os
3 3 6
Cartesian
0.000 0.000 0.000
0.000 1.635 17.180
1.416 0.817 8.590
0.000 0.000 19.351
0.000 1.635 10.762
1.416 0.817 2.172
0.000 0.000 6.406
0.000 0.000 12.804
0.000 1.635 4.214
0.000 1.635 23.586
1.416 0.817 14.996
1.416 0.817 21.394
```

***

YTiCuRu | PBE-GGA | optimized geometry

Calculated values
Calculated volume, Å³/atom: 17.51
Symmetry: F-43m
DFT formation energy, meV/atom: -198
Mass density, g/cm3: 7.15

Structure (POSCAR):
```
YTiCuRu
1.0
6.543 0.000 0.000
0.000 6.543 0.000
0.000 0.000 6.543
Y Ti Cu Ru
4 4 4 4
Cartesian
0.000 0.000 0.000
0.000 3.272 3.272
3.272 0.000 3.272
3.272 3.272 0.000
0.000 0.000 3.272
0.000 3.272 0.000
3.272 0.000 0.000
3.272 3.272 3.272
1.636 1.636 1.636
1.636 4.908 4.908
4.908 1.636 4.908
4.908 4.908 1.636
1.636 1.636 4.908
1.636 4.908 1.636
4.908 1.636 1.636
4.908 4.908 4.908
```

***

Pu2ZnGa4Rh3 | PBE-GGA | optimized geometry

Calculated values
Calculated volume, Å³/atom: 18.28
Symmetry: P-4m2
DFT formation energy, meV/atom: -502
Mass density, g/cm3: 10.36

Structure (POSCAR):
```
Pu2ZnGa4Rh3
1.0
3.966 0.000 0.000
0.000 3.966 0.000
0.000 0.000 11.625
Pu Zn Ga Rh
2 1 4 3
Cartesian
0.000 1.983 2.716
1.983 0.000 8.909
0.000 0.000 5.813
0.000 0.000 0.000
0.000 1.983 7.408
1.983 0.000 4.217
1.983 1.983 0.000
0.000 1.983 9.936
1.983 0.000 1.689
1.983 1.983 5.813
```

***

Sn2PdRu2 | PBE-GGA | optimized geometry

Calculated values
Calculated volume, Å³/atom: 17.60
Symmetry: P4/mbm
DFT formation energy, meV/atom: 14
Mass density, g/cm3: 10.30
Energy relative to the lowest polymorph listed for this composition, eV per formula unit: 0.148

Structure (POSCAR):
```
Sn2PdRu2
1.0
7.508 0.000 0.000
0.000 7.508 0.000
0.000 0.000 3.123
Sn Pd Ru
4 2 4
Cartesian
1.162 2.592 0.000
2.592 6.346 0.000
4.916 1.162 0.000
6.346 4.916 0.000
0.000 0.000 0.000
3.754 3.754 0.000
1.074 4.828 1.561
2.680 1.074 1.561
4.828 6.434 1.561
6.434 2.680 1.561
```